--- P ---
The following is a PBE calculation of a geometry-optimized La5Nd2Sm4 structure, from the Alexandria database.

POSCAR file:
```
La5Nd2Sm4
1.0
-1.2813 -0.0829 3.3735
4.2554 -11.0586 1.3445
8.2734 4.0111 1.3100
Sm Nd La
4 2 5
Cartesian
9.6122 -4.5070 5.4713
6.3335 0.6433 2.4215
1.6353 -2.6235 0.5566
4.9140 -7.7737 3.6065
4.1715 -2.2490 3.4603
7.0760 -4.8814 2.5677
3.7284 -5.1704 1.2890
-0.6407 -0.0415 1.6867
3.0127 0.5787 1.1585
7.5191 -1.9600 4.7389
8.2348 -7.7091 4.8694
```

SG	No. 12



--- Q ---
The following is a PBE calculation of a geometry-optimized La5Nd2Sm4 structure, from the Alexandria database.

POSCAR file:
```
La5Nd2Sm4
1.0
3.5931 0.0000 0.0000
0.0000 9.4936 0.0000
-1.7966 -4.7468 11.9132
La Sm Nd
5 4 2
Cartesian
0.0000 7.5906 3.5029
1.7966 0.0000 0.0000
1.7966 -2.8438 8.4103
0.0000 1.9030 3.5029
1.7966 2.8438 8.4103
0.0000 2.9142 0.0000
1.7966 4.7468 2.2882
0.0000 6.5794 0.0000
0.0000 0.0000 9.6250
0.0000 0.0000 6.4011
1.7966 4.7468 5.5121
```

SG	No. 71



Most stable: P. Least stable: Q.



--- P ---
The following is a PBE calculation of a geometry-optimized LaNd6Sm12 structure, from the Alexandria database.

POSCAR file:
```
LaNd6Sm12
1.0
8.8207 -0.1988 -1.2494
-1.4109 8.7094 -1.2494
-0.1731 -0.1988 8.9071
Sm Nd La
12 6 1
Cartesian
4.6161 5.3019 6.5645
7.0747 5.3019 3.7880
1.2924 4.1559 5.8307
0.9723 6.4597 3.2041
2.6206 3.0099 -0.1563
3.2982 6.4597 0.5775
0.1619 3.0099 2.6202
2.9590 0.5746 2.6202
6.2644 1.8521 3.2041
4.2777 7.7371 3.7880
3.9384 1.8521 5.8307
5.9443 4.1559 0.5775
5.6438 0.6968 -0.0767
7.3232 2.6258 6.4849
1.5929 7.6149 6.4849
0.6067 0.6968 5.6116
6.6300 7.6149 0.7967
-0.0866 5.6860 -0.0767
0.0000 0.0000 0.0000
```

SG	No. 166



--- Q ---
The following is a PBE calculation of a geometry-optimized LaNd6Sm12 structure, from the Alexandria database.

POSCAR file:
```
LaNd6Sm12
1.0
8.6653 0.6855 0.8212
-0.6361 8.6691 0.8212
-0.6361 -0.7412 8.6763
Sm Nd La
12 6 1
Cartesian
2.9411 6.6333 5.6608
1.2823 3.7429 5.4573
6.1107 4.8705 4.8613
4.4519 1.9801 4.6578
4.4246 8.3783 8.2780
2.9684 0.2351 2.0407
3.8878 3.5718 7.5381
5.8999 5.3813 9.7226
7.6106 7.1362 7.0320
1.4931 3.2321 0.5960
3.5052 5.0416 2.7805
-0.2176 1.4771 3.2866
0.1999 5.8793 2.9104
5.6313 8.1409 4.0138
5.7811 2.6690 1.5914
7.1931 2.7340 7.4082
1.7617 0.4724 6.3048
1.6119 5.9444 8.7272
0.0000 0.0000 0.0000
```

SG	No. 148



Most stable: Q. Least stable: P.



--- P ---
The following is a PBE calculation of a geometry-optimized La4Nd2Sm3 structure, from the Alexandria database.

POSCAR file:
```
La4Nd2Sm3
1.0
-1.0142 3.9457 -3.2834
-7.9857 -0.4114 1.9722
4.0228 3.0121 6.5464
Nd Sm La
2 3 4
Cartesian
-5.6376 2.9141 5.2433
0.6606 3.6323 -0.0081
-0.4182 5.7105 2.8225
-4.5588 0.8359 2.4127
0.0000 0.0000 0.0000
-2.1974 4.1640 5.6828
-2.7796 2.3824 -0.4476
-3.8863 4.4616 2.3929
-1.0907 2.0849 2.8423
```

SG	No. 12



--- Q ---
The following is a PBE calculation of a geometry-optimized La4Nd2Sm3 structure, from the Alexandria database.

POSCAR file:
```
La4Nd2Sm3
1.0
5.2372 -0.0019 0.0017
2.6162 5.6040 1.5793
0.0021 0.4538 11.0703
Nd La Sm
2 4 3
Cartesian
2.6194 2.2406 9.1199
5.2361 3.8153 3.5313
5.2379 0.1504 3.6833
5.2375 4.1393 10.8957
2.6176 5.9054 8.9680
2.6180 1.9166 1.7556
2.6192 2.0537 5.4692
5.2363 4.0021 7.1820
0.0000 0.0000 0.0000
```

SG	No. 12



Most stable: P. Least stable: Q.



--- P ---
The following is a PBE calculation of a geometry-optimized LaNd3Sm structure, from the Alexandria database.

POSCAR file:
```
LaNd3Sm
1.0
3.6853 0.0000 0.0000
0.0000 10.3591 1.2984
-1.8427 1.4514 9.4561
Nd Sm La
6 2 2
Cartesian
1.8427 10.1393 3.1355
0.0000 7.7939 0.9802
0.0000 7.3385 4.6480
1.8427 4.4721 6.1065
0.0000 1.6712 7.6190
1.8427 4.0167 9.7743
1.8427 9.7051 6.7690
0.0000 2.1054 3.9854
1.8427 4.9439 2.4749
0.0000 6.8666 8.2796
```

SG	No. 12



--- Q ---
The following is a PBE calculation of a geometry-optimized LaNd3Sm structure, from the Alexandria database.

POSCAR file:
```
LaNd3Sm
1.0
7.2116 0.0000 0.0000
-3.6058 6.9847 -5.4607
0.0000 -1.9661 8.6423
La Nd Sm
2 6 2
Cartesian
3.6058 -0.9620 7.0696
0.0000 5.9805 -3.8880
-1.8056 4.2300 -1.1214
1.8056 4.2300 -1.1214
3.6058 2.5123 1.6002
5.4114 0.7885 4.3030
0.0000 2.5062 1.5814
1.8002 0.7885 4.3030
3.6058 5.9693 -3.8584
0.0000 -0.9507 7.0401
```

SG	No. 12



Most stable: P. Least stable: Q.



--- P ---
The following is a PBE calculation of a geometry-optimized La5Nd2Sm3 structure, from the Alexandria database.

POSCAR file:
```
La5Nd2Sm3
1.0
0.8937 7.2239 -7.2835
-6.7916 -7.3973 -2.2122
-2.4595 4.0695 8.0344
Sm Nd La
6 4 10
Cartesian
0.0298 1.9485 -1.7032
-5.0129 2.5654 1.4146
-8.3873 1.9475 0.2419
-5.6964 -3.1306 -1.3397
-3.3445 1.3307 -2.8759
-2.6611 7.0267 -0.1216
-6.5034 -0.2282 2.4014
-7.1523 -5.9496 -0.3740
-1.2051 9.8457 -1.0874
-1.8540 4.1242 -3.8627
-5.9813 -0.9929 -4.4805
-2.9915 1.9151 -6.4071
-2.2006 3.5910 -0.3479
-6.1568 0.3051 -1.1134
-2.3761 4.8890 3.0191
-3.0079 -0.8450 0.2334
-5.3495 4.7411 -1.6948
-5.3659 1.9809 4.9458
-3.1243 0.3302 3.5836
-5.2331 3.5658 -5.0450
```

SG	No. 15



--- Q ---
The following is a PBE calculation of a geometry-optimized La5Nd2Sm3 structure, from the Alexandria database.

POSCAR file:
```
La5Nd2Sm3
1.0
8.6132 0.0000 0.0000
4.3066 9.7758 1.1763
4.3066 3.7284 9.1131
La Nd Sm
10 4 6
Cartesian
8.6132 4.4154 4.5495
6.4599 3.4549 2.6325
6.4599 10.0492 7.6570
10.7665 3.4549 2.6325
12.9197 7.9460 7.2397
10.7665 10.0492 7.6570
4.3066 5.5581 3.0498
8.6132 9.0888 5.7399
6.4599 6.7521 5.1447
10.7665 6.7521 5.1447
8.6132 11.1604 9.9211
4.3066 0.9771 2.1620
8.6132 2.3438 0.3684
12.9197 12.5270 8.1275
4.3066 3.5516 5.9449
2.1533 0.0000 0.0000
12.9198 9.9525 4.3445
6.4599 0.0000 0.0000
8.6132 6.8299 8.4428
8.6132 6.6742 1.8467
```

SG	No. 72



Most stable: P. Least stable: Q.



--- P ---
The following is a PBE calculation of a geometry-optimized La5Nd5Sm structure, from the Alexandria database.

POSCAR file:
```
La5Nd5Sm
1.0
6.7276 -1.9632 1.3343
-1.0152 7.2748 4.8546
-0.9817 1.9417 9.5974
Nd Sm La
5 1 5
Cartesian
4.4106 3.6166 11.7894
0.7446 1.3330 6.8367
3.3638 -0.9816 0.6671
3.9861 5.9203 8.9495
0.3201 3.6367 3.9968
0.0000 0.0000 0.0000
1.1914 4.4444 10.1902
3.5393 2.8089 5.5960
2.9237 6.8425 12.2184
1.8070 0.4107 3.5679
-0.9984 4.6083 7.2260
```

SG	No. 2



--- Q ---
The following is a PBE calculation of a geometry-optimized La5Nd5Sm structure, from the Alexandria database.

POSCAR file:
```
La5Nd5Sm
1.0
6.3444 0.0000 0.0000
-3.1722 5.4944 0.0000
0.0000 0.0000 11.7213
Sm Nd La
1 5 5
Cartesian
0.0000 3.6630 0.0000
1.6103 0.9297 5.8607
0.0000 0.0000 3.0989
4.7342 0.9297 5.8607
0.0000 0.0000 8.6224
3.1722 3.6351 5.8607
3.1722 1.8315 1.8169
3.1722 1.8315 9.9044
0.0000 3.6630 3.7614
0.0000 3.6630 7.9600
0.0000 0.0000 0.0000
```

SG	No. 187



Most stable: P. Least stable: Q.